Run P
A relaxed structure of LiSbTe3O12, computed with PBEsol.

Output
DOS at the Fermi energy: 0.0 states/eV per cell

a b c (Å): 4.838 8.430 5.198
angles (deg): 90.00 90.31 90.00
Space group P2 (No. 3)
Inequivalent atoms, fractional coordinates:
Li1 0.000 0.000 0.000 [1 per cell]
Sb1 0.500 0.109 0.500 [1 per cell]
Te1 0.000 0.604 0.000 [1 per cell]
Te2 0.000 0.789 0.500 [1 per cell]
Te3 0.500 0.292 0.000 [1 per cell]
O1 0.208 0.779 0.823 [2 per cell]
O2 0.212 0.624 0.317 [2 per cell]
O3 0.239 0.948 0.354 [2 per cell]
O4 0.254 0.454 0.857 [2 per cell]
O5 0.280 0.128 0.823 [2 per cell]
O6 0.285 0.276 0.306 [2 per cell]

---

Run Q
A relaxed structure of LiSbTe3O12, computed with PBEsol.

a b c (Å): 5.044 5.280 7.307
angles (deg): 86.22 89.88 89.99
Space group P1 (No. 1)
Inequivalent atoms, fractional coordinates:
Li1 0.000 0.000 0.000 [1 per cell]
Sb1 0.499 0.919 0.218 [1 per cell]
Te1 0.495 0.921 0.709 [1 per cell]
Te2 0.996 0.427 0.706 [1 per cell]
Te3 0.999 0.424 0.214 [1 per cell]
O1 0.126 0.403 0.957 [1 per cell]
O2 0.165 0.098 0.262 [1 per cell]
O3 0.178 0.741 0.641 [1 per cell]
O4 0.309 0.237 0.639 [1 per cell]
O5 0.316 0.592 0.277 [1 per cell]
O6 0.365 0.915 0.956 [1 per cell]
O7 0.636 0.923 0.468 [1 per cell]
O8 0.684 0.608 0.781 [1 per cell]
O9 0.698 0.231 0.138 [1 per cell]
O10 0.812 0.107 0.777 [1 per cell]
O11 0.820 0.733 0.141 [1 per cell]
O12 0.856 0.423 0.461 [1 per cell]

---

Stability, highest: run P

---

Run P
A relaxed structure of Li2V3SbO8, computed with PBEsol.

Output
DOS at the Fermi energy: 6.4 states/eV per cell

a b c (Å): 5.6489 5.6489 10.4608
angles (deg): 90.00 90.00 120.00
Space group P6_3mc (No. 186)
Inequivalent atoms, fractional coordinates:
Li1 0.0000 0.0000 0.0000 [2 per cell]
Li2 0.3333 0.6667 0.4103 [2 per cell]
V1 0.1833 0.3665 0.7263 [6 per cell]
Sb1 0.3333 0.6667 0.0161 [2 per cell]
O1 0.0000 0.0000 0.3164 [2 per cell]
O2 0.0163 0.5082 0.8333 [6 per cell]
O3 0.1571 0.3142 0.1198 [6 per cell]
O4 0.3333 0.6667 0.6008 [2 per cell]

---

Run Q
A relaxed structure of Li2V3SbO8, computed with PBEsol.

Output
DOS at the Fermi energy: 27.2 states/eV per cell

a b c (Å): 5.7449 5.7449 15.8796
angles (deg): 90.00 90.00 120.00
Space group R-3m (No. 166, hexagonal axes)
Inequivalent atoms, fractional coordinates:
Li1 0.0000 0.0000 0.1199 [6 per cell]
V1 0.0000 0.5000 0.0000 [9 per cell]
Sb1 0.0000 0.0000 0.5000 [3 per cell]
O1 0.0000 0.0000 0.2650 [6 per cell]
O2 0.0203 0.5102 0.2615 [18 per cell]

---

Run R
A relaxed structure of Li2V3SbO8, computed with PBEsol.

Output
DOS at the Fermi energy: 15.1 states/eV per cell

a b c (Å): 8.381 8.381 8.381
angles (deg): 90.00 90.00 90.00
Space group P4_332 (No. 212)
Inequivalent atoms, fractional coordinates:
Li1 0.006 0.006 0.006 [8 per cell]
V1 0.110 0.140 0.625 [12 per cell]
Sb1 0.125 0.875 0.375 [4 per cell]
O1 0.104 0.116 0.385 [24 per cell]
O2 0.124 0.624 0.876 [8 per cell]

---

Stability, highest: run P

---

Run P
A relaxed structure of LiTiSi4O10, computed with PBEsol.

a b c (Å): 7.964 5.309 11.375
angles (deg): 90.00 110.79 90.00
Space group P2/c (No. 13)
Inequivalent atoms, fractional coordinates:
Li1 0.000 0.247 0.250 [2 per cell]
Ti1 0.000 0.253 0.750 [2 per cell]
Si1 0.296 0.025 0.151 [4 per cell]
Si2 0.296 0.477 0.497 [4 per cell]
O1 0.155 0.006 0.723 [4 per cell]
O2 0.155 0.500 0.354 [4 per cell]
O3 0.258 0.298 0.081 [4 per cell]
O4 0.267 0.202 0.550 [4 per cell]
O5 0.500 0.015 0.250 [2 per cell]
O6 0.500 0.500 0.000 [2 per cell]

---

Run Q
A relaxed structure of LiTiSi4O10, computed with PBEsol.

Output
DOS at the Fermi energy: 0.6 states/eV per cell

a b c (Å): 4.812 7.172 11.020
angles (deg): 90.00 90.00 90.00
Space group Pnc2 (No. 30)
Inequivalent atoms, fractional coordinates:
Li1 0.000 0.000 0.000 [2 per cell]
Ti1 0.500 0.000 0.124 [2 per cell]
Si1 0.031 0.213 0.736 [4 per cell]
Si2 0.471 0.713 0.899 [4 per cell]
O1 0.000 0.000 0.689 [2 per cell]
O2 0.180 0.155 0.139 [4 per cell]
O3 0.218 0.207 0.861 [4 per cell]
O4 0.283 0.702 0.770 [4 per cell]
O5 0.325 0.657 0.497 [4 per cell]
O6 0.500 0.000 0.446 [2 per cell]

---

Stability, highest: run Q

---

Run P
A relaxed structure of LiVSiO4, computed with PBEsol.

Output
DOS at the Fermi energy: 12.7 states/eV per cell

a b c (Å): 10.140 5.915 4.742
angles (deg): 90.00 90.00 90.00
Space group Pnma (No. 62)
Inequivalent atoms, fractional coordinates:
Li1 0.218 0.250 0.021 [4 per cell]
V1 0.000 0.000 0.500 [4 per cell]
Si1 0.092 0.750 0.080 [4 per cell]
O1 0.059 0.250 0.763 [4 per cell]
O2 0.084 0.750 0.733 [4 per cell]
O3 0.151 0.522 0.226 [8 per cell]

---

Run Q
A relaxed structure of LiVSiO4, computed with PBEsol.

Output
DOS at the Fermi energy: 11.1 states/eV per cell

a b c (Å): 5.417 6.327 9.175
angles (deg): 76.13 81.52 71.86
Space group P-1 (No. 2)
Inequivalent atoms, fractional coordinates:
Li1 0.178 0.128 0.136 [2 per cell]
Li2 0.311 0.934 0.779 [2 per cell]
V1 0.198 0.343 0.422 [2 per cell]
V2 0.286 0.433 0.786 [2 per cell]
Si1 0.166 0.674 0.091 [2 per cell]
Si2 0.323 0.797 0.461 [2 per cell]
O1 0.123 0.659 0.442 [2 per cell]
O2 0.125 0.437 0.206 [2 per cell]
O3 0.142 0.170 0.902 [2 per cell]
O4 0.200 0.058 0.384 [2 per cell]
O5 0.247 0.649 0.917 [2 per cell]
O6 0.370 0.768 0.153 [2 per cell]
O7 0.372 0.273 0.615 [2 per cell]
O8 0.402 0.716 0.638 [2 per cell]

---

Run R
A relaxed structure of LiVSiO4, computed with PBEsol.

Output
DOS at the Fermi energy: 19.5 states/eV per cell

a b c (Å): 5.414 8.238 6.031
angles (deg): 90.00 90.00 90.00
Space group Cmcm (No. 63)
Inequivalent atoms, fractional coordinates:
Li1 0.000 0.167 0.250 [4 per cell]
V1 0.000 0.500 0.000 [4 per cell]
Si1 0.000 0.153 0.750 [4 per cell]
O1 0.000 0.265 0.531 [8 per cell]
O2 0.241 0.025 0.750 [8 per cell]

---

Run S
A relaxed structure of LiVSiO4, computed with PBEsol.

a b c (Å): 8.532 5.121 8.430
angles (deg): 90.00 107.69 90.00
Space group Pc (No. 7)
Inequivalent atoms, fractional coordinates:
Li1 0.000 0.169 0.000 [2 per cell]
Li2 0.488 0.327 0.347 [2 per cell]
V1 0.240 0.171 0.760 [2 per cell]
V2 0.737 0.332 0.112 [2 per cell]
Si1 0.120 0.320 0.376 [2 per cell]
Si2 0.616 0.183 0.740 [2 per cell]
O1 0.096 0.183 0.542 [2 per cell]
O2 0.150 0.364 0.903 [2 per cell]
O3 0.277 0.182 0.333 [2 per cell]
O4 0.453 0.294 0.783 [2 per cell]
O5 0.602 0.133 0.206 [2 per cell]
O6 0.640 0.334 0.577 [2 per cell]
O7 0.772 0.259 0.903 [2 per cell]
O8 0.960 0.258 0.216 [2 per cell]

---

Stability, highest: run R